[1]
A plane-wave DFT calculation with GGA-PBE was carried out for BaHfCd2 after structural relaxation.

Computed properties:
DFT formation energy   0.55 eV per atom
Excess energy over the best structure of this formula in the dataset   272 meV per atom
Raw total energy   -2.882 eV per atom
Density of states at the Fermi level   14.60 states/eV/cell
Density   6.18 Mg/m³

a b c (Å): 5.337 5.337 20.389
angles (deg): 90.00 90.00 90.00
Space group I-42d (No. 122)
One atom of each set of equivalent atoms:
Ba (0.000, 0.000, 0.000)
Hf (0.000, 0.000, 0.500)
Cd (0.114, 0.250, 0.625)

[2]
A plane-wave DFT calculation with GGA-PBE was carried out for BaLaAs2Pd5 after structural relaxation.

Computed properties:
DFT formation energy   -0.66 eV per atom
Raw total energy   -5.340 eV per atom
Density of states at the Fermi level   3.04 states/eV/cell
Density   8.35 Mg/m³

a b c (Å): 4.712 4.712 8.580
angles (deg): 90.00 90.00 90.00
Space group P4/mmm (No. 123)
One atom of each set of equivalent atoms:
Ba (0.000, 0.000, 0.000)
La (0.000, 0.000, 0.500)
As (0.500, 0.500, 0.332)
Pd (0.000, 0.500, 0.247)
Pd (0.500, 0.500, 0.000)